[1]
## Ba2TaMnAu (PBE)

Data for a relaxed Ba2TaMnAu crystal.

Results
For the theoretical density, the calculation gives 6.67 g cm⁻³. The total DFT energy (no corrections) comes out at -4.7446 eV/atom.

```
Ba2TaMnAu
1.0
6.3997 0.0000 0.0000
0.0000 4.2992 0.0000
0.0000 0.0000 6.3997
Mn Au Ba Ta
1 1 2 1
direct
0.0000 0.5000 0.0000
0.5000 0.5000 0.5000
0.0000 0.0000 0.5000
0.5000 0.0000 0.0000
0.0000 0.0000 0.0000
```

***

[2]
## Ba2MnTlAu (PBE)

Data for a relaxed Ba2MnTlAu crystal.

Results
For the theoretical density, the calculation gives 5.42 g cm⁻³. The total DFT energy (no corrections) comes out at -3.4503 eV/atom.

```
Ba2MnTlAu
1.0
-0.3585 4.1236 -5.1787
-4.3501 -2.2202 -1.4667
-3.4408 4.3147 3.6738
Tl Mn Au Ba
1 1 1 2
direct
0.0000 0.0000 0.0000
0.0000 0.5000 0.0000
0.5000 0.5000 0.5000
0.0000 0.0000 0.5000
0.5000 0.0000 0.0000
```

***

[3]
## BaMnVAu2 (PBE)

Data for a relaxed BaMnVAu2 crystal.

Results
For the theoretical density, the calculation gives 7.57 g cm⁻³. The total DFT energy (no corrections) comes out at -4.4961 eV/atom.

```
BaMnVAu2
1.0
-4.0695 -2.2365 1.9304
-1.6773 -1.3432 -5.0920
2.5297 -4.3352 0.3103
Mn Au Ba V
1 2 1 1
direct
0.0000 0.0000 0.0000
0.0000 0.0000 0.5000
0.5000 0.0000 0.0000
0.0000 0.5000 0.0000
0.5000 0.5000 0.5000
```

***

[4]
## BaY2MnAu (PBE)

Data for a relaxed BaY2MnAu crystal.

Results
For the theoretical density, the calculation gives 6.53 g cm⁻³. The total DFT energy (no corrections) comes out at -5.3496 eV/atom.

```
BaY2MnAu
1.0
-0.0982 -3.9407 3.3890
5.3357 -0.1771 -0.0513
0.1503 3.3860 3.9416
Y Mn Au Ba
2 1 1 1
direct
0.0000 0.0000 0.5000
0.5000 0.0000 0.0000
0.0000 0.0000 0.0000
0.0000 0.5000 0.0000
0.5000 0.5000 0.5000
```

***

[5]
## BaMo2Au (PBE)

Data for a relaxed BaMo2Au crystal.

Results
The offset from the most stable computed form comes out at 2.702 eV/f.u. For the theoretical density, the calculation gives 10.38 g cm⁻³.

```
BaMo2Au
1.0
-0.1872 -5.3030 2.9578
3.6608 4.5363 1.7107
-1.2992 0.8206 2.4655
Au Ba Mo
1 1 2
direct
0.5000 0.0000 0.5000
0.0000 0.5000 0.5000
0.0000 0.0000 0.0000
0.5000 0.5000 0.0000
```

***

[6]
## BaMo3Au (PBE)

Data for a relaxed BaMo3Au crystal.

Results
The offset from the most stable computed form comes out at 5.708 eV/f.u. For the theoretical density, the calculation gives 8.65 g cm⁻³.

```
BaMo3Au
1.0
4.9240 0.0000 0.0000
0.0000 4.9240 0.0000
0.0000 0.0000 4.9240
Mo Au Ba
3 1 1
direct
0.0000 0.5000 0.0000
0.0000 0.0000 0.5000
0.5000 0.0000 0.0000
0.5000 0.5000 0.5000
0.0000 0.0000 0.0000
```

***

[7]
## BaMo4Au (PBE)

Data for a relaxed BaMo4Au crystal.

Results
For the theoretical density, the calculation gives 10.06 g cm⁻³. The total DFT energy (no corrections) comes out at -7.2404 eV/atom.

```
BaMo4Au
1.0
0.3890 -3.5112 4.2340
-4.0216 -0.2349 3.7654
-3.3013 -4.4105 0.2365
Ba Mo Au
1 4 1
direct
0.0000 0.0000 0.0000
0.8765 0.3745 0.3745
0.3745 0.3745 0.8765
0.3745 0.8765 0.3745
0.3745 0.3745 0.3745
0.7500 0.7500 0.7500
```

***

[8]
## BaMoAu (PBE)

Data for a relaxed BaMoAu crystal.

Results
The offset from the most stable computed form comes out at 1.146 eV/f.u. For the theoretical density, the calculation gives 10.09 g cm⁻³.

```
BaMoAu
1.0
3.2055 0.0000 0.0000
-1.6028 2.7760 0.0000
0.0000 0.0000 7.9578
Au Ba Mo
1 1 1
direct
0.0000 0.0000 0.9639
0.6667 0.3333 0.3348
0.3333 0.6667 0.7012
```

***

[9]
## BaMoAu (PBE)

Data for a relaxed BaMoAu crystal.

Results
The offset from the most stable computed form comes out at 0.000 eV/f.u. For the theoretical density, the calculation gives 8.71 g cm⁻³.

```
BaMoAu
1.0
-4.4553 -0.4493 4.6916
0.5047 -0.5175 6.4453
1.9361 3.1051 -5.3549
Au Ba Mo
1 1 1
direct
0.0490 0.0490 0.0000
0.3364 0.3363 0.0000
0.6146 0.6147 0.0000
```

***

[10]
## BaMo2Au (PBE)

Data for a relaxed BaMo2Au crystal.

Results
The offset from the most stable computed form comes out at 3.032 eV/f.u. For the theoretical density, the calculation gives 10.42 g cm⁻³.

```
BaMo2Au
1.0
11.0277 0.0113 0.0066
10.6216 2.9652 0.0066
10.6216 1.4603 2.5807
Au Ba Mo
1 1 2
direct
0.2500 0.2500 0.2500
0.7500 0.7500 0.7500
0.9871 0.9871 0.9871
0.5129 0.5129 0.5129
```

***

[11]
## BaMo2Au (PBE)

Data for a relaxed BaMo2Au crystal.

Results
The offset from the most stable computed form comes out at 0.921 eV/f.u. For the theoretical density, the calculation gives 10.11 g cm⁻³.

```
BaMo2Au
1.0
-1.7206 0.8163 2.4157
-1.7304 -1.3345 -2.1651
1.6065 -8.7199 4.0907
Au Ba Mo
1 1 2
direct
0.0000 0.0000 0.4616
0.5000 0.5000 0.7499
0.0000 0.0000 0.0526
0.5000 0.5000 0.2359
```

***

[12]
## BaMoAu3 (PBE)

Data for a relaxed BaMoAu3 crystal.

Results
The offset from the most stable computed form comes out at 6.151 eV/f.u. For the theoretical density, the calculation gives 6.35 g cm⁻³.

```
BaMoAu3
1.0
-4.3544 1.1039 3.9732
3.6722 -1.5907 4.4665
1.8760 5.6759 0.4790
Mo Au Ba
1 3 1
direct
0.5000 0.5000 0.5000
0.0000 0.5000 0.0000
0.0000 0.0000 0.5000
0.5000 0.0000 0.0000
0.0000 0.0000 0.0000
```

***

[13]
## BaMo2Au (PBE)

Data for a relaxed BaMo2Au crystal.

Results
The offset from the most stable computed form comes out at 1.962 eV/f.u. For the theoretical density, the calculation gives 7.70 g cm⁻³.

```
BaMo2Au
1.0
4.7508 0.0000 0.0000
0.0000 4.7508 0.0000
2.3754 2.3754 10.0602
Mo Au Ba
4 2 2
direct
0.8750 0.1250 0.2500
0.8750 0.6250 0.2500
0.3750 0.1250 0.7500
0.8750 0.1250 0.7500
0.0000 0.0000 0.0000
0.7500 0.2500 0.5000
0.5000 0.5000 0.0000
0.2500 0.7500 0.5000
```

***

[14]
## BaMo2Au (PBE)

Data for a relaxed BaMo2Au crystal.

Results
The offset from the most stable computed form comes out at 2.417 eV/f.u. For the theoretical density, the calculation gives 10.13 g cm⁻³.

```
BaMo2Au
1.0
-0.0387 -4.7407 1.4547
3.3900 -1.0817 -3.4540
0.8850 3.5957 3.2985
Au Ba Mo
1 1 2
direct
0.5000 0.5000 0.0000
0.7500 0.2500 0.5000
0.0000 0.0000 0.0000
0.2500 0.7500 0.5000
```

***

[15]
## BaMoAu3 (PBE)

Data for a relaxed BaMoAu3 crystal.

Results
The offset from the most stable computed form comes out at 0.000 eV/f.u. For the theoretical density, the calculation gives 9.85 g cm⁻³.

```
BaMoAu3
1.0
-0.5060 -0.0039 -5.1540
-2.0991 -4.7297 0.2097
-4.7072 2.1095 0.4605
Mo Au Ba
1 3 1
direct
0.0000 0.0000 0.0000
0.0000 0.5000 0.0000
0.0000 0.0000 0.5000
0.5000 0.0000 0.0000
0.5000 0.5000 0.5000
```

***

[16]
## BaMo2Au (PBE)

Data for a relaxed BaMo2Au crystal.

Results
The offset from the most stable computed form comes out at 3.171 eV/f.u. For the theoretical density, the calculation gives 10.29 g cm⁻³.

```
BaMo2Au
1.0
5.9005 0.0152 0.0000
-2.9674 5.1001 0.0000
0.0000 0.0000 2.8168
Au Ba Mo
1 1 2
direct
0.5000 0.0000 0.5000
0.0000 0.5000 0.5000
0.0000 0.0000 0.0000
0.5000 0.5000 0.0000
```

***

[17]
## BaMo2Au (PBE)

Data for a relaxed BaMo2Au crystal.

Results
The offset from the most stable computed form comes out at 1.455 eV/f.u. For the theoretical density, the calculation gives 8.77 g cm⁻³.

```
BaMo2Au
1.0
-2.0289 -1.1650 -2.8589
1.5411 -3.3465 0.2699
-5.2881 -2.0647 4.5942
Au Ba Mo
1 1 2
direct
0.5000 0.5000 0.2500
0.5000 0.5000 0.7500
0.0000 0.0000 0.1011
0.0000 0.0000 0.3989
```

***

[18]
## Ba4MoAu (PBE)

Data for a relaxed Ba4MoAu crystal.

Results
For the theoretical density, the calculation gives 5.57 g cm⁻³. The total DFT energy (no corrections) comes out at -2.5954 eV/atom.

```
Ba4MoAu
1.0
6.5743 -1.6944 -2.0127
1.9189 -6.8005 -0.4641
1.1134 -2.9396 -6.3453
Ba Mo Au
4 1 1
direct
0.8759 0.3747 0.3747
0.3747 0.3747 0.8759
0.3747 0.8759 0.3747
0.3747 0.3747 0.3747
0.7500 0.7500 0.7500
0.0000 0.0000 0.0000
```

***

[19]
## BaMo2Au (PBE)

Data for a relaxed BaMo2Au crystal.

Results
The offset from the most stable computed form comes out at 1.240 eV/f.u. For the theoretical density, the calculation gives 8.33 g cm⁻³.

```
BaMo2Au
1.0
-1.3944 -4.8178 0.5962
2.9575 -0.6605 1.5796
-1.4344 1.1494 5.9334
Au Ba Mo
1 1 2
direct
0.5000 0.2500 0.2500
0.5000 0.7500 0.7500
0.0000 0.0408 0.1145
0.0000 0.4592 0.3855
```

***

[20]
## BaMo2Au (PBE)

Data for a relaxed BaMo2Au crystal.

Results
The offset from the most stable computed form comes out at 2.390 eV/f.u. For the theoretical density, the calculation gives 10.44 g cm⁻³.

```
BaMo2Au
1.0
2.8966 0.0203 0.0000
-0.0195 2.8966 0.0000
0.0000 0.0000 9.9787
Au Ba Mo
1 1 2
direct
0.5000 0.5000 0.2500
0.5000 0.5000 0.7500
0.0000 0.0000 0.0434
0.0000 0.0000 0.4566
```

***

[21]
## BaMo2Au (PBE)

Data for a relaxed BaMo2Au crystal.

Results
The offset from the most stable computed form comes out at 3.572 eV/f.u. For the theoretical density, the calculation gives 11.01 g cm⁻³.

```
BaMo2Au
1.0
0.0000 3.4112 3.4112
3.4112 0.0000 3.4112
3.4112 3.4112 0.0000
Mo Au Ba
2 1 1
direct
0.2500 0.2500 0.2500
0.7500 0.7500 0.7500
0.5000 0.5000 0.5000
0.0000 0.0000 0.0000
```

***

[22]
## BaMo2Au (PBE)

Data for a relaxed BaMo2Au crystal.

Results
The offset from the most stable computed form comes out at 3.295 eV/f.u. For the theoretical density, the calculation gives 9.98 g cm⁻³.

```
BaMo2Au
1.0
-5.2729 2.3105 0.5156
-2.2383 0.5274 5.3028
4.9638 1.2845 -2.6681
Au Ba Mo
1 1 2
direct
0.2500 0.7500 0.5000
0.7500 0.2500 0.5000
0.0000 0.0000 0.0000
0.5000 0.5000 0.0000
```

***

[23]
## BaMoAu (PBE)

Data for a relaxed BaMoAu crystal.

Results
The offset from the most stable computed form comes out at 0.756 eV/f.u. For the theoretical density, the calculation gives 7.21 g cm⁻³.

```
BaMoAu
1.0
-1.7769 -2.3263 4.2917
2.8786 -3.6119 2.3782
2.1764 1.0296 4.6034
Au Ba Mo
1 1 1
direct
0.7500 0.7500 0.7500
0.0000 0.0000 0.0000
0.5000 0.5000 0.5000
```

***

[24]
## BaMo2Au (PBE)

Data for a relaxed BaMo2Au crystal.

Results
The offset from the most stable computed form comes out at 3.143 eV/f.u. For the theoretical density, the calculation gives 9.76 g cm⁻³.

```
BaMo2Au
1.0
4.1475 0.0000 0.0000
0.0000 4.1475 0.0000
0.0000 0.0000 5.2028
Au Ba Mo
1 1 2
direct
0.5000 0.0000 0.5000
0.0000 0.5000 0.5000
0.0000 0.0000 0.0000
0.5000 0.5000 0.0000
```

***

[25]
## BaMo2Au (PBE)

Data for a relaxed BaMo2Au crystal.

Results
The offset from the most stable computed form comes out at 2.026 eV/f.u. For the theoretical density, the calculation gives 9.99 g cm⁻³.

```
BaMo2Au
1.0
-2.2217 -2.4786 -5.5045
3.5694 -3.4631 -4.0799
-2.8950 1.1037 5.6374
Au Ba Mo
1 1 2
direct
0.2500 0.7500 0.5000
0.7500 0.2500 0.5000
0.0292 0.0292 0.0000
0.4708 0.4708 0.0000
```

***

[26]
## Ba2Mo4Au (PBE)

Data for a relaxed Ba2Mo4Au crystal.

Results
For the theoretical density, the calculation gives 6.58 g cm⁻³. The total DFT energy (no corrections) comes out at -5.2368 eV/atom.

```
Ba2Mo4Au
1.0
5.0612 0.0000 0.0000
0.0000 5.0612 0.0000
2.5306 2.5306 8.4277
Mo Au Ba
4 1 2
direct
0.8454 0.8454 0.3092
0.1546 0.1546 0.6908
0.0000 0.5000 0.0000
0.5000 0.0000 0.0000
0.0000 0.0000 0.0000
0.6401 0.6401 0.7198
0.3599 0.3599 0.2802
```

***

[27]
## BaMo2Au (PBE)

Data for a relaxed BaMo2Au crystal.

Results
The offset from the most stable computed form comes out at 0.000 eV/f.u. For the theoretical density, the calculation gives 9.66 g cm⁻³.

```
BaMo2Au
1.0
3.3261 0.0000 0.0000
0.0000 3.3261 0.0000
0.0000 0.0000 8.1724
Au Ba Mo
1 1 2
direct
0.0000 0.0000 0.4435
0.5000 0.5000 0.7486
0.0000 0.0000 0.0831
0.5000 0.5000 0.2248
```

***

[28]
## BaMo2Au (PBE)

Data for a relaxed BaMo2Au crystal.

Results
The offset from the most stable computed form comes out at 0.758 eV/f.u. For the theoretical density, the calculation gives 9.45 g cm⁻³.

```
BaMo2Au
1.0
-4.9791 7.0650 4.0611
-3.3630 5.8409 6.7655
-1.8297 8.0798 4.7505
Au Ba Mo
1 1 2
direct
0.5148 0.5148 0.5148
0.7514 0.7514 0.7514
0.9780 0.9780 0.9780
0.2558 0.2558 0.2558
```

***

[29]
## BaMo2Au (PBE)

Data for a relaxed BaMo2Au crystal.

Results
The offset from the most stable computed form comes out at 2.605 eV/f.u. For the theoretical density, the calculation gives 10.20 g cm⁻³.

```
BaMo2Au
1.0
-1.7463 -0.9414 -2.4307
1.9254 -4.6347 0.4116
-3.9997 -1.3596 3.4001
Au Ba Mo
1 1 2
direct
0.5000 0.0000 0.5000
0.0000 0.5000 0.5000
0.0000 0.0000 0.0000
0.5000 0.5000 0.0000
```

***

[30]
## BaMo2Au (PBE)

Data for a relaxed BaMo2Au crystal.

Results
The offset from the most stable computed form comes out at 0.675 eV/f.u. For the theoretical density, the calculation gives 8.60 g cm⁻³.

```
BaMo2Au
1.0
5.5265 0.0045 0.0028
4.5075 3.1976 0.0028
1.2023 0.3837 5.7559
Au Ba Mo
1 1 2
direct
0.7500 0.7500 0.7500
0.2500 0.2500 0.2500
0.0301 0.0301 0.8707
0.4699 0.4699 0.6293
```